This record from the Alexandria database describes a relaxed Nd4Ge8Os crystal. The functional is PBE.

```
Nd4Ge8Os
1.0
4.117 0.000 0.000
0.000 4.324 0.000
0.000 0.000 16.556
Nd Ge Os
4 8 1
Direct
0.000 0.000 0.000
0.000 0.500 0.491
0.500 0.000 0.793
0.500 0.500 0.287
0.000 0.000 0.338
0.000 0.000 0.630
0.000 0.500 0.139
0.000 0.500 0.852
0.500 0.000 0.147
0.500 0.000 0.440
0.500 0.500 0.625
0.500 0.500 0.950
0.000 0.500 0.703
```

Computed properties:
E	-5.713	eV/atom
calculated formation energy	-0.541	eV per atom
density of states at the Fermi level	0.688	states/eV/atom
magnetic moment	0.0	μB/cell
symmetry	Pmm2 (25)



This record from the Alexandria database describes a relaxed Na8ZnAu2 crystal. The functional is PBE.

```
Na8ZnAu2
1.0
-2.469 4.043 7.342
2.469 -4.043 7.342
2.469 4.043 -7.342
Na Zn Au
8 1 2
Direct
0.122 0.341 0.781
0.155 0.155 0.000
0.308 0.000 0.308
0.439 0.659 0.781
0.561 0.341 0.219
0.692 0.000 0.692
0.845 0.845 0.000
0.878 0.659 0.219
0.000 0.500 0.500
0.309 0.809 0.500
0.691 0.191 0.500
```

Computed properties:
E	-1.788	eV/atom
calculated formation energy	-0.117	eV per atom
density of states at the Fermi level	0.370	states/eV/atom
magnetic moment	0.0	μB/cell
symmetry	Immm (71)